Below is a relaxed Dy4Tl2O crystal, with properties calculated at the GGA-PBE level.

Calculated values
SG: P2_1/m (11)
E_form (uncorrected): -1063.9 meV per atom

Structure (extended XYZ):
```
14
Lattice="6.413 0.000 -0.313 0.000 6.860 0.000 -2.726 0.000 8.608" Properties=species:S:1:pos:R:3 pbc="T T T"
Dy 1.012 3.416 6.078
Dy 5.435 1.715 0.178
Dy 4.147 1.715 5.294
Dy -1.748 5.145 8.117
Dy 2.675 6.846 2.217
Dy 1.012 0.014 6.078
Dy 2.675 3.444 2.217
Dy -0.460 5.145 3.002
Tl 0.096 1.715 3.492
Tl -0.696 1.715 8.282
Tl 3.592 5.145 4.803
Tl 4.383 5.145 0.014
O 2.349 1.715 6.606
O 1.338 5.145 1.690
```

Below is a relaxed BaNaHgTe2 crystal, with properties calculated at the GGA-PBE level.

Calculated values
SG: P2/c (13)
E_form (uncorrected): -876.4 meV per atom

Structure (extended XYZ):
```
10
Lattice="5.195 0.000 0.000 0.000 8.166 0.326 0.000 -2.103 8.846" Properties=species:S:1:pos:R:3 pbc="T T T"
Ba 4.555 3.557 2.374
Ba 0.640 2.506 6.797
Te 1.915 4.755 4.486
Te 3.280 1.308 4.685
Te 1.915 2.359 0.263
Te 3.280 3.704 8.909
Na 2.724 -1.577 6.634
Na 2.471 -0.526 2.211
Hg 0.000 -1.052 4.423
Hg 0.000 0.000 0.000
```

Below is a relaxed LaFeRu2 crystal, with properties calculated at the GGA-PBE level.

Calculated values
E above lowest polymorph: 300 meV per atom
SG: Imm2 (44)

Structure (extended XYZ):
```
4
Lattice="-5.316 1.017 -1.319 -3.934 -0.970 3.823 4.610 2.816 -1.360" Properties=species:S:1:pos:R:3 pbc="T T T"
Fe -4.876 0.025 1.320
Ru -2.616 1.928 -0.727
Ru -9.053 0.046 2.450
La -1.970 0.935 1.856
```

> Number 2 is which compound?

BaNaHgTe2